An optimized crystal structure of BeSeCl2, computed with GGA-PBE.

a = 3.232 Å, b = 2.936 Å, c = 11.433 Å
α = 90.00°, β = 94.59°, γ = 90.00°
Positions (direct):
Be 0.000 0.000 0.000
Se 0.500 0.000 0.500
Cl 0.123 0.500 0.879
Cl 0.877 0.500 0.121

Computed properties:
Size of the total moment, μB/f.u.: 0.00
Crystal system: monoclinic
Distance to the lowest polymorph of the same formula, meV per atom: 101
Space group: No. 10
Raw formation energy, meV per atom: -495.7